The following is a PBE with a Hubbard U calculation of crystalline VBr3O at its relaxed geometry, from Alexandria via LeMat-Bulk.

Calculated values
* total DFT energy (no corrections): -3.22 eV/atom
* Fermi-level density of states: 14.304 states/eV/cell

a = 5.175 Å, b = 5.175 Å, c = 5.175 Å
α = 90.00°, β = 90.00°, γ = 90.00°
Positions (direct):
V 0.000 0.000 0.000
Br 0.000 0.000 0.500
Br 0.000 0.500 0.000
Br 0.500 0.000 0.000
O 0.500 0.500 0.500